Compound: Ga3CuIr
Source: Alexandria via LeMat-Bulk
Functional: PBEsol
Structure: relaxed

Geometry as CIF:
```
data_Ga3CuIr
_cell_length_a 4.718
_cell_length_b 4.718
_cell_length_c 4.718
_cell_angle_alpha 90.00
_cell_angle_beta 90.00
_cell_angle_gamma 90.00
_symmetry_space_group_name_H-M 'P m -3 m'
_symmetry_Int_Tables_number 221
_symmetry_space_group_name_Hall '-P 4 2 3'
loop_
_atom_site_label
_atom_site_type_symbol
_atom_site_fract_x
_atom_site_fract_y
_atom_site_fract_z
Ga1 Ga 0.000 0.000 0.500
Cu1 Cu 0.500 0.500 0.500
Ir1 Ir 0.000 0.000 0.000
```

***

Compound: GaCuIr2W
Source: Alexandria via LeMat-Bulk
Functional: PBEsol
Structure: relaxed

Geometry as CIF:
```
data_GaCuIr2W
_cell_length_a 4.697
_cell_length_b 4.697
_cell_length_c 4.690
_cell_angle_alpha 90.00
_cell_angle_beta 90.00
_cell_angle_gamma 90.00
_symmetry_space_group_name_H-M 'P 4/m m m'
_symmetry_Int_Tables_number 123
_symmetry_space_group_name_Hall '-P 4 2'
loop_
_atom_site_label
_atom_site_type_symbol
_atom_site_fract_x
_atom_site_fract_y
_atom_site_fract_z
Ga1 Ga 0.000 0.000 0.000
Cu1 Cu 0.500 0.500 0.000
Ir1 Ir 0.000 0.500 0.500
W1 W 0.500 0.500 0.500
```

***

Energy of formation from the pure elements values (in meV per atom) by entry order: 210 1649.